No. 1
DFT (GGA-PBE) results for an optimized crystal structure of TcTeAs.

Cell: 3.4174 3.4174 6.0990 Å, 90.00 90.00 120.00°
Space group P3m1 (No. 156)
One atom of each set of equivalent atoms:
Tc1 0.0000 0.0000 0.0000
Te1 0.3333 0.6667 0.3086
As1 0.6667 0.3333 0.7395

- Total energy: -6.009 eV per atom
- ΔE_f (raw): 0.04 eV/atom
- Energy above the lowest structure with this stoichiometry: 0.268 eV/atom
- DOS(E_F): 1.27 states/eV/f.u.


No. 2
DFT (GGA-PBE) results for an optimized crystal structure of Tc2TeAs.

Cell: 6.533 6.533 6.533 Å, 90.00 90.00 90.00°
Space group F-43m (No. 216)
One atom of each set of equivalent atoms:
Tc1 0.000 0.000 0.000
Tc2 0.250 0.250 0.250
Te1 0.000 0.000 0.500
As1 0.250 0.250 0.750

- Total energy: -6.375 eV per atom
- ΔE_f (raw): 0.76 eV/atom
- Energy above the lowest structure with this stoichiometry: 0.721 eV/atom
- DOS(E_F): 7.02 states/eV/f.u.


No. 3
DFT (GGA-PBE) results for an optimized crystal structure of Tc2TeAs.

Cell: 3.165 4.685 4.728 Å, 90.00 90.00 90.00°
Space group Pmm2 (No. 25)
One atom of each set of equivalent atoms:
Tc1 0.000 0.000 0.000
Tc2 0.500 0.500 0.189
Te1 0.000 0.500 0.722
As1 0.500 0.000 0.405

- Total energy: -7.056 eV per atom
- ΔE_f (raw): 0.08 eV/atom
- Energy above the lowest structure with this stoichiometry: 0.041 eV/atom
- DOS(E_F): 3.17 states/eV/f.u.


No. 4
DFT (GGA-PBE) results for an optimized crystal structure of TcTeAs2.

Cell: 4.028 4.429 5.329 Å, 90.00 99.80 90.00°
Space group Pm (No. 6)
One atom of each set of equivalent atoms:
Tc1 0.000 0.000 0.000
Te1 0.773 0.500 0.262
As1 0.205 0.500 0.888
As2 0.493 0.000 0.706

- Total energy: -5.463 eV per atom
- ΔE_f (raw): 0.24 eV/atom
- DOS(E_F): 2.09 states/eV/f.u.


No. 5
DFT (GGA-PBE) results for an optimized crystal structure of Tc2TeAs.

Cell: 3.0459 3.0459 30.3494 Å, 90.00 90.00 120.00°
Space group R3m (No. 160, hexagonal axes)
One atom of each set of equivalent atoms:
Tc1 0.0000 0.0000 0.0000
Tc2 0.0000 0.0000 0.2637
Te1 0.0000 0.0000 0.5274
As1 0.0000 0.0000 0.7273

- Total energy: -6.941 eV per atom
- ΔE_f (raw): 0.19 eV/atom
- Energy above the lowest structure with this stoichiometry: 0.156 eV/atom
- DOS(E_F): 2.99 states/eV/f.u.


No. 6
DFT (GGA-PBE) results for an optimized crystal structure of TcTeAs.

Cell: 6.452 5.495 7.493 Å, 90.00 95.79 90.00°
Space group P2_1/c (No. 14)
One atom of each set of equivalent atoms:
Tc1 0.214 0.015 0.115
Te1 0.427 0.720 0.894
As1 0.087 0.222 0.838

- Total energy: -6.257 eV per atom
- ΔE_f (raw): -0.21 eV/atom
- Energy above the lowest structure with this stoichiometry: 0.020 eV/atom
- DOS(E_F): 0.04 states/eV/f.u.


No. 7
DFT (GGA-PBE) results for an optimized crystal structure of TcTeAs2.

Cell: 4.818 4.818 3.271 Å, 90.00 90.00 90.00°
Space group P4/mmm (No. 123)
One atom of each set of equivalent atoms:
Tc1 0.000 0.000 0.000
Te1 0.500 0.500 0.000
As1 0.000 0.500 0.500

- Total energy: -5.009 eV per atom
- ΔE_f (raw): 0.69 eV/atom
- DOS(E_F): 4.51 states/eV/f.u.


No. 8
DFT (GGA-PBE) results for an optimized crystal structure of Tc2TeAs.

Cell: 3.184 3.184 6.409 Å, 90.00 90.00 90.00°
Space group P4/mmm (No. 123)
One atom of each set of equivalent atoms:
Tc1 0.000 0.000 0.230
Te1 0.500 0.500 0.500
As1 0.500 0.500 0.000

- Total energy: -6.978 eV per atom
- ΔE_f (raw): 0.15 eV/atom
- Energy above the lowest structure with this stoichiometry: 0.119 eV/atom
- DOS(E_F): 4.08 states/eV/f.u.


- What is the total energy in the second record?
  -6.375 eV per atom


- What is the ΔE_f (raw) in the fourth record?
  0.24 eV/atom


- The lowest ΔE_f (raw) belongs to which entry?
  number 6


Repeat the third record exactly.
DFT (GGA-PBE) results for an optimized crystal structure of Tc2TeAs.

Cell: 3.165 4.685 4.728 Å, 90.00 90.00 90.00°
Space group Pmm2 (No. 25)
One atom of each set of equivalent atoms:
Tc1 0.000 0.000 0.000
Tc2 0.500 0.500 0.189
Te1 0.000 0.500 0.722
As1 0.500 0.000 0.405

- Total energy: -7.056 eV per atom
- ΔE_f (raw): 0.08 eV/atom
- Energy above the lowest structure with this stoichiometry: 0.041 eV/atom
- DOS(E_F): 3.17 states/eV/f.u.